Entry 1:
Here is crystalline Ti3InH at its relaxed geometry from the Alexandria database. Energies are from GGA-PBE.

Unit cell a=5.904 b=5.904 c=5.308 alpha=90.00 beta=90.00 gamma=123.24
Last column: magnetic moment on the atom in μB.
Fractional positions:
Ti: 0.950 0.522 0.250  0.31
Ti: 0.522 0.950 0.750  0.33
H: 0.883 0.117 0.750  0.00
Ti: 0.050 0.478 0.750  0.31
In: 0.555 0.445 0.750  -0.01
Ti: 0.000 0.000 0.000  -0.19
Ti: 0.478 0.050 0.250  0.33
H: 0.117 0.883 0.250  0.00
In: 0.445 0.555 0.250  -0.01
Ti: 0.000 0.000 0.500  -0.20

Properties
Space-group type: Cmcm (63)
Total magnetization: 1.1 μB per cell
E: -59.98 eV per cell

=====

Entry 2:
Here is crystalline TiIn2H at its relaxed geometry from the Alexandria database. Energies are from GGA-PBE.

Unit cell a=4.736 b=4.736 c=4.736 alpha=60.00 beta=60.00 gamma=60.00
Last column: magnetic moment on the atom in μB.
Fractional positions:
Ti: 0.500 0.500 0.500  0.74
In: 0.250 0.250 0.250  0.00
H: 0.000 0.000 0.000  0.05
In: 0.750 0.750 0.750  0.00

Properties
Space-group type: Fm-3m (225)
Total magnetization: 1.0 μB per cell
E: -14.11 eV per cell

=====

Entry 3:
Here is crystalline Ti3InH at its relaxed geometry from the Alexandria database. Energies are from GGA-PBE.

Unit cell a=3.099 b=3.099 c=18.697 alpha=90.00 beta=90.00 gamma=120.00
Fractional positions:
H: 0.667 0.333 0.250
Ti: 0.333 0.667 0.630
In: 0.000 0.000 0.000
In: 0.000 0.000 0.500
H: 0.333 0.667 0.750
Ti: 0.000 0.000 0.750
Ti: 0.000 0.000 0.250
Ti: 0.667 0.333 0.130
Ti: 0.667 0.333 0.370
Ti: 0.333 0.667 0.870

Properties
Space-group type: P6_3/mmc (194)
Total magnetization: 0.0 μB per cell
E: -60.12 eV per cell

=====

no.,calculated density (Mg/m³)
1,5.57
2,6.16
3,5.54